Entry 1:
Material: MgIr2Au
Method: DFT, PBE-GGA
State: relaxed

Lattice parameters (Å, degrees): 4.830 4.830 4.875 100.17 100.17 34.60
Positions (direct):
Mg 0.000 0.000 0.000
Ir 0.491 0.491 0.477
Ir 0.751 0.751 0.302
Au 0.247 0.247 0.790

Computed properties:
The energy of formation from the pure elements is -0.07 eV per atom. The total energy comes out at -5.718 eV per atom. The space group is Cm (8). For the volume, the calculation gives 63.5 Å³ per cell. Its density of states at the Fermi level is 3.19 states/eV/cell.



Entry 2:
Material: AsPdRu2S
Method: DFT, PBE-GGA
State: relaxed

Lattice parameters (Å, degrees): 4.294 4.294 4.818 90.00 90.00 90.00
Positions (direct):
As 0.000 0.000 0.000
Pd 0.500 0.500 0.000
Ru 0.000 0.500 0.500
Ru 0.500 0.000 0.500
S 0.000 0.000 0.500

Computed properties:
The raw formation energy is 0.741 eV/atom. The total energy comes out at -5.763 eV per atom. The space group is P4/mmm (123). For the volume, the calculation gives 88.8 Å³ per cell. Its density of states at the Fermi level is 3.34 states/eV/cell.



Entry 3:
Material: Ba2MnSbTe
Method: DFT, PBE-GGA
State: relaxed

Lattice parameters (Å, degrees): 6.296 6.296 4.826 90.00 90.00 90.00
Positions (direct):
Ba 0.000 0.500 0.000
Ba 0.500 0.000 0.000
Mn 0.000 0.000 0.000
Sb 0.000 0.000 0.500
Te 0.500 0.500 0.500

Computed properties:
The raw formation energy is -0.479 eV/atom. The total energy comes out at -4.535 eV per atom. The space group is P4/mmm (123). For the volume, the calculation gives 191.3 Å³ per cell. Its density of states at the Fermi level is 4.09 states/eV/cell.



Entry 4:
Material: La6PmSm5
Method: DFT, PBE-GGA
State: relaxed

Lattice parameters (Å, degrees): 8.339 8.339 10.233 90.03 90.03 143.33
Positions (direct):
La 0.000 0.000 0.250
La 0.000 0.000 0.750
La 0.333 0.667 0.250
La 0.333 0.667 0.750
La 0.667 0.333 0.250
La 0.667 0.333 0.750
Pm 0.500 0.500 0.000
Sm 0.166 0.834 0.500
Sm 0.167 0.833 0.000
Sm 0.500 0.500 0.500
Sm 0.833 0.167 0.000
Sm 0.834 0.166 0.500

Computed properties:
The energy of formation from the pure elements is 0.02 eV per atom. The total energy comes out at -4.810 eV per atom. The space group is C2/m (12). For the volume, the calculation gives 424.9 Å³ per cell. Its density of states at the Fermi level is 19.43 states/eV/cell.



Entry 5:
Material: ZrNbB3
Method: DFT, PBE-GGA
State: relaxed

Lattice parameters (Å, degrees): 10.045 10.045 3.179 90.00 90.00 160.26
Positions (direct):
Zr 0.070 0.930 0.750
Zr 0.930 0.070 0.250
Nb 0.204 0.796 0.250
Nb 0.796 0.204 0.750
B 0.334 0.666 0.250
B 0.383 0.617 0.750
B 0.477 0.523 0.750
B 0.523 0.477 0.250
B 0.617 0.383 0.250
B 0.666 0.334 0.750

Computed properties:
The energy of formation from the pure elements is -0.89 eV per atom. The total energy comes out at -8.617 eV per atom. The space group is Cmcm (63). For the volume, the calculation gives 108.3 Å³ per cell. Its density of states at the Fermi level is 1.58 states/eV/cell.



Entry 6:
Material: TaCd3Cu
Method: DFT, PBE-GGA
State: relaxed

Lattice parameters (Å, degrees): 5.452 5.452 5.452 90.00 90.00 90.00
Positions (direct):
Ta 0.000 0.000 0.000
Cd 0.000 0.000 0.500
Cd 0.000 0.500 0.000
Cd 0.500 0.000 0.000
Cu 0.500 0.500 0.500

Computed properties:
The energy of formation from the pure elements is 1.45 eV per atom. The total energy comes out at -2.287 eV per atom. The space group is Pm-3m (221). For the volume, the calculation gives 162.1 Å³ per cell. Its density of states at the Fermi level is 3.79 states/eV/cell.



Entry 7:
Material: CoRuPt2
Method: DFT, PBE-GGA
State: relaxed

Lattice parameters (Å, degrees): 4.334 4.334 4.334 60.00 60.00 60.00
Positions (direct):
Co 0.000 0.000 0.000
Ru 0.500 0.500 0.500
Pt 0.250 0.250 0.250
Pt 0.750 0.750 0.750

Computed properties:
The energy of formation from the pure elements is 0.34 eV per atom. The total energy comes out at -6.771 eV per atom. The space group is Fm-3m (225). For the volume, the calculation gives 57.6 Å³ per cell. Its density of states at the Fermi level is 6.83 states/eV/cell.



Entry 8:
Material: ScZnRu2C
Method: DFT, PBE-GGA
State: relaxed

Lattice parameters (Å, degrees): 4.043 4.043 4.342 90.00 90.00 90.00
Positions (direct):
Sc 0.000 0.000 0.000
Zn 0.500 0.500 0.000
Ru 0.000 0.500 0.500
Ru 0.500 0.000 0.500
C 0.000 0.000 0.500

Computed properties:
The energy of formation from the pure elements is -0.19 eV per atom. The total energy comes out at -7.261 eV per atom. The space group is P4/mmm (123). For the volume, the calculation gives 71.0 Å³ per cell. Its density of states at the Fermi level is 2.98 states/eV/cell.



Entry 9:
Material: ThMgH6Pd2
Method: DFT, PBE-GGA
State: relaxed

Lattice parameters (Å, degrees): 6.061 6.061 6.061 44.35 44.35 44.35
Positions (direct):
Th 0.000 0.000 0.000
Mg 0.500 0.500 0.500
H 0.080 0.550 0.550
H 0.450 0.450 0.920
H 0.450 0.920 0.450
H 0.550 0.080 0.550
H 0.550 0.550 0.080
H 0.920 0.450 0.450
Pd 0.211 0.211 0.211
Pd 0.789 0.789 0.789

Computed properties:
The total energy comes out at -4.303 eV per atom. The space group is R-3m (166). For the volume, the calculation gives 98.9 Å³ per cell. Its density of states at the Fermi level is 2.29 states/eV/cell.



Entry 10:
Material: CeGa2F8
Method: DFT, PBE-GGA
State: relaxed

Lattice parameters (Å, degrees): 6.922 6.922 4.043 90.00 90.00 120.00
Positions (direct):
Ce 0.000 0.000 0.000
Ga 0.333 0.667 0.270
Ga 0.667 0.333 0.730
F 0.172 0.345 0.267
F 0.172 0.828 0.267
F 0.333 0.667 0.766
F 0.345 0.172 0.733
F 0.655 0.828 0.267
F 0.667 0.333 0.234
F 0.828 0.172 0.733
F 0.828 0.655 0.733

Computed properties:
The raw formation energy is -2.823 eV/atom. The total energy comes out at -5.274 eV per atom. The space group is P-3m1 (164). For the volume, the calculation gives 167.7 Å³ per cell. Its density of states at the Fermi level is 5.31 states/eV/cell.



Entry 11:
Material: AgGeC2
Method: DFT, PBE-GGA
State: relaxed

Lattice parameters (Å, degrees): 4.098 4.098 4.098 60.00 60.00 60.00
Positions (direct):
Ag 0.000 0.000 0.000
Ge 0.500 0.500 0.500
C 0.250 0.250 0.250
C 0.750 0.750 0.750

Computed properties:
The energy of formation from the pure elements is 2.29 eV per atom. The total energy comes out at -4.189 eV per atom. The space group is Fm-3m (225). For the volume, the calculation gives 48.7 Å³ per cell. Its density of states at the Fermi level is 1.94 states/eV/cell.



Entry 12:
Material: Mg2TcHg
Method: DFT, PBE-GGA
State: relaxed

Lattice parameters (Å, degrees): 4.984 4.984 4.984 129.72 129.72 73.85
Positions (direct):
Mg 0.250 0.750 0.500
Mg 0.750 0.250 0.500
Tc 0.000 0.000 0.000
Hg 0.500 0.500 0.000

Computed properties:
The energy of formation from the pure elements is 0.20 eV per atom. The total energy comes out at -3.266 eV per atom. The space group is I4/mmm (139). For the volume, the calculation gives 71.4 Å³ per cell. Its density of states at the Fermi level is 2.20 states/eV/cell.



Entry 13:
Material: PmZnAu3
Method: DFT, PBE-GGA
State: relaxed

Lattice parameters (Å, degrees): 6.990 6.990 5.384 90.35 90.35 52.34
Positions (direct):
Pm 0.129 0.129 0.252
Pm 0.871 0.871 0.748
Zn 0.500 0.500 0.000
Zn 0.500 0.500 0.500
Au 0.113 0.630 0.248
Au 0.316 0.316 0.746
Au 0.370 0.887 0.752
Au 0.630 0.113 0.248
Au 0.684 0.684 0.254
Au 0.887 0.370 0.752

Computed properties:
The energy of formation from the pure elements is -0.54 eV per atom. The total energy comes out at -3.714 eV per atom. The space group is C2/m (12). For the volume, the calculation gives 208.2 Å³ per cell. Its density of states at the Fermi level is 5.19 states/eV/cell.



Entry 14:
Material: CeSc2Sb3
Method: DFT, PBE-GGA
State: relaxed

Lattice parameters (Å, degrees): 7.390 7.390 7.390 146.38 131.25 60.52
Positions (direct):
Ce 0.000 0.000 0.000
Sc 0.337 0.337 0.000
Sc 0.663 0.663 0.000
Sb 0.178 0.678 0.500
Sb 0.500 0.000 0.500
Sb 0.822 0.322 0.500

Computed properties:
The raw formation energy is -0.946 eV/atom. The total energy comes out at -6.107 eV per atom. The space group is Immm (71). For the volume, the calculation gives 166.5 Å³ per cell. Its density of states at the Fermi level is 7.05 states/eV/cell.



Entry 15:
Material: Ca2ErScS4
Method: DFT, PBE-GGA
State: relaxed

Lattice parameters (Å, degrees): 6.694 3.874 6.829 90.00 109.16 90.00
Positions (direct):
Ca 0.000 0.000 0.000
Ca 0.500 0.500 0.000
Er 0.000 0.500 0.500
Sc 0.500 0.000 0.500
S 0.252 0.000 0.738
S 0.260 0.500 0.265
S 0.740 0.500 0.735
S 0.748 0.000 0.262

Computed properties:
The raw formation energy is -2.004 eV/atom. The total energy comes out at -5.930 eV per atom. The space group is P2/m (10). For the volume, the calculation gives 167.3 Å³ per cell. Its density of states at the Fermi level is 3.61 states/eV/cell.



Entry 16:
Material: TaSnMo2
Method: DFT, PBE-GGA
State: relaxed

Lattice parameters (Å, degrees): 4.623 4.623 4.623 60.00 60.00 60.00
Positions (direct):
Ta 0.000 0.000 0.000
Sn 0.500 0.500 0.500
Mo 0.250 0.250 0.250
Mo 0.750 0.750 0.750

Computed properties:
The energy of formation from the pure elements is 0.09 eV per atom. The total energy comes out at -9.286 eV per atom. The space group is Fm-3m (225). For the volume, the calculation gives 69.9 Å³ per cell. Its density of states at the Fermi level is 3.85 states/eV/cell.



Entry 17:
Material: KSrHg2
Method: DFT, PBE-GGA
State: relaxed

Lattice parameters (Å, degrees): 4.104 3.997 8.514 90.00 90.09 90.00
Positions (direct):
K 0.000 0.000 0.000
Sr 0.000 0.000 0.500
Hg 0.500 0.500 0.281
Hg 0.500 0.500 0.719

Computed properties:
The energy of formation from the pure elements is -0.34 eV per atom. The total energy comes out at -1.188 eV per atom. The space group is P2/m (10). For the volume, the calculation gives 139.7 Å³ per cell. Its density of states at the Fermi level is 3.43 states/eV/cell.



Entry 18:
Material: Tb2SmOsC2
Method: DFT, PBE-GGA
State: relaxed

Lattice parameters (Å, degrees): 5.650 11.100 3.788 90.00 90.00 90.00
Positions (direct):
Tb 0.036 0.205 0.000
Tb 0.464 0.705 0.500
Tb 0.536 0.295 0.500
Tb 0.964 0.795 0.000
Sm 0.000 0.500 0.500
Sm 0.500 0.000 0.000
Os 0.000 0.000 0.500
Os 0.500 0.500 0.000
C 0.240 0.620 0.000
C 0.260 0.120 0.500
C 0.740 0.880 0.500
C 0.760 0.380 0.000

Computed properties:
The energy of formation from the pure elements is -0.18 eV per atom. The total energy comes out at -7.459 eV per atom. The space group is Pnnm (58). For the volume, the calculation gives 237.5 Å³ per cell. Its density of states at the Fermi level is 7.66 states/eV/cell.



Entry 19:
Material: NaIn2SnCl6
Method: DFT, PBE-GGA
State: relaxed

Lattice parameters (Å, degrees): 7.358 7.364 7.846 62.05 62.08 60.05
Positions (direct):
Na 0.000 0.000 0.000
In 0.199 0.198 0.404
In 0.694 0.693 0.919
Sn 0.499 0.498 0.505
Cl 0.083 0.414 0.727
Cl 0.294 0.857 0.215
Cl 0.414 0.776 0.727
Cl 0.634 0.294 0.215
Cl 0.776 0.083 0.727
Cl 0.858 0.633 0.215

Computed properties:
The raw formation energy is -1.056 eV/atom. The total energy comes out at -3.244 eV per atom. The space group is P1 (1). For the volume, the calculation gives 309.8 Å³ per cell. Its density of states at the Fermi level is 5.51 states/eV/cell.



Entry 20:
Material: PmDyPaN3
Method: DFT, PBE-GGA
State: relaxed

Lattice parameters (Å, degrees): 6.033 3.518 9.101 90.00 102.00 90.00
Positions (direct):
Pm 0.156 0.250 0.190
Pm 0.844 0.750 0.810
Dy 0.354 0.250 0.864
Dy 0.646 0.750 0.136
Pa 0.265 0.750 0.546
Pa 0.735 0.250 0.454
N 0.045 0.250 0.647
N 0.252 0.750 0.008
N 0.465 0.750 0.361
N 0.535 0.250 0.639
N 0.748 0.250 0.992
N 0.955 0.750 0.353

Computed properties:
The raw formation energy is -1.474 eV/atom. The total energy comes out at -8.778 eV per atom. The space group is P2_1/m (11). For the volume, the calculation gives 189.0 Å³ per cell. Its density of states at the Fermi level is 3.23 states/eV/cell.



Entry 21:
Material: VMoHRh2
Method: DFT, PBE-GGA
State: relaxed

Lattice parameters (Å, degrees): 3.853 3.853 4.011 90.00 90.00 90.00
Positions (direct):
V 0.000 0.000 0.000
Mo 0.500 0.500 0.000
H 0.500 0.500 0.500
Rh 0.000 0.500 0.500
Rh 0.500 0.000 0.500

Computed properties:
The total energy comes out at -7.779 eV per atom. The space group is P4/mmm (123). For the volume, the calculation gives 59.6 Å³ per cell. Its density of states at the Fermi level is 2.80 states/eV/cell.



Entry 22:
Material: K3Pr2HfSe6
Method: DFT, PBE-GGA
State: relaxed

Lattice parameters (Å, degrees): 7.301 7.301 8.105 98.70 98.70 120.02
Positions (direct):
K 0.000 0.000 0.000
K 0.328 0.672 0.000
K 0.672 0.328 0.000
Pr 0.166 0.834 0.500
Pr 0.834 0.166 0.500
Hf 0.500 0.500 0.500
Se 0.124 0.431 0.292
Se 0.264 0.264 0.709
Se 0.431 0.124 0.292
Se 0.569 0.876 0.708
Se 0.736 0.736 0.291
Se 0.876 0.569 0.708

Computed properties:
The raw formation energy is -1.566 eV/atom. The total energy comes out at -5.209 eV per atom. The space group is C2/m (12). For the volume, the calculation gives 356.5 Å³ per cell. Its density of states at the Fermi level is 4.41 states/eV/cell.



Entry 23:
Material: Er6HgGe2Te3
Method: DFT, PBE-GGA
State: relaxed

Lattice parameters (Å, degrees): 9.621 9.621 8.648 105.84 105.84 25.27
Positions (direct):
Er 0.007 0.007 0.252
Er 0.325 0.325 0.438
Er 0.333 0.333 0.898
Er 0.667 0.667 0.102
Er 0.675 0.675 0.562
Er 0.993 0.993 0.748
Hg 0.500 0.500 0.000
Ge 0.165 0.165 0.328
Ge 0.835 0.835 0.672
Te 0.166 0.166 0.829
Te 0.500 0.500 0.500
Te 0.834 0.834 0.171

Computed properties:
The raw formation energy is -1.024 eV/atom. The total energy comes out at -4.886 eV per atom. The space group is C2/m (12). For the volume, the calculation gives 328.1 Å³ per cell. Its density of states at the Fermi level is 6.41 states/eV/cell.



Entry 24:
Material: Te2IrRh
Method: DFT, PBE-GGA
State: relaxed

Lattice parameters (Å, degrees): 6.995 6.995 6.995 33.20 33.20 33.20
Positions (direct):
Te 0.000 0.000 0.000
Te 0.192 0.192 0.192
Ir 0.458 0.458 0.458
Rh 0.734 0.734 0.734

Computed properties:
The raw formation energy is -0.022 eV/atom. The total energy comes out at -5.646 eV per atom. The space group is R3m (160). For the volume, the calculation gives 91.3 Å³ per cell. Its density of states at the Fermi level is 3.16 states/eV/cell.



Entry 25:
Material: La2NdY6Tm3
Method: DFT, PBE-GGA
State: relaxed

Lattice parameters (Å, degrees): 6.227 6.227 11.870 95.02 95.02 119.99
Positions (direct):
La 0.167 0.833 0.000
La 0.833 0.167 0.000
Nd 0.500 0.500 0.000
Y 0.081 0.414 0.744
Y 0.253 0.253 0.256
Y 0.414 0.081 0.744
Y 0.586 0.919 0.256
Y 0.747 0.747 0.744
Y 0.919 0.586 0.256
Tm 0.000 0.000 0.500
Tm 0.334 0.666 0.500
Tm 0.666 0.334 0.500

Computed properties:
The energy of formation from the pure elements is 0.03 eV per atom. The total energy comes out at -5.542 eV per atom. The space group is C2/m (12). For the volume, the calculation gives 392.4 Å³ per cell. Its density of states at the Fermi level is 18.21 states/eV/cell.